The following is a DFT calculation (PBE+U) of a relaxed MnNbGe2O8 crystal.

For the total energy, the calculation gives -175.30 eV per cell.

The structure belongs to space group I-4m2 (No. 119); the cell edges are 6.4922, 6.4922 and 6.4219 Å and the angles 90.00°, 90.00° and 90.00°. The distinct sites, in fractional coordinates, are Mn at (0.0000, 0.0000, 0.0000), Nb at (0.0000, 0.5000, 0.7500), Ge at (0.0000, 0.0000, 0.5000), Ge at (0.0000, 0.5000, 0.2500), O at (0.0000, 0.1986, 0.6841) and O at (0.0000, 0.3098, 0.0491).